A geometry-optimized Rb2TcBi structure, computed with PBE.

## Properties
energy of formation: 700 meV/atom
calculated volume: 501.61 Å³ per cell
symmetry: I-42d (122)

abc: 13.7765 13.7765 10.0936
angles: 46.97 46.97 90.00
Closest atoms and distances in Å follow each position.
Fractional coordinates of all 8 atoms:
Bi1 0.0000 0.0000 0.0000  2 Tc 2.64
Bi2 0.7500 0.2500 0.5000  2 Tc 2.64
Rb1 0.3954 0.1250 0.2500  2 Tc 3.52
Rb2 0.3546 0.6250 0.2500  2 Tc 3.52
Rb3 0.3750 0.6046 0.7500  2 Tc 3.52
Rb4 0.8750 0.6454 0.7500  2 Tc 3.52
Tc1 0.5000 0.5000 0.0000  2 Bi 2.64
Tc2 0.2500 0.7500 0.5000  2 Bi 2.64


A geometry-optimized Cs2K2Bi structure, computed with PBE.

## Properties
energy of formation: -18 meV/atom
calculated volume: 668.22 Å³ per cell
energy above the lowest structure with this stoichiometry: 208 meV per atom
symmetry: P4/mbm (127)

abc: 9.7654 9.7654 7.0071
angles: 90.00 90.00 90.00
Closest atoms and distances in Å follow each position.
Fractional coordinates of all 10 atoms:
Cs1 0.3582 0.8582 0.0000  2 Bi 3.76, 1 Cs 3.92, 2 K 4.14
Cs2 0.8582 0.6418 0.0000  2 Bi 3.76, 1 Cs 3.92, 2 K 4.14
Cs3 0.6418 0.1418 0.0000  2 Bi 3.76, 1 Cs 3.92, 2 K 4.14
Cs4 0.1418 0.3582 0.0000  2 Bi 3.76, 1 Cs 3.92, 2 K 4.14
K1 0.1986 0.6986 0.5000  2 Cs 4.14
K2 0.6986 0.8014 0.5000  2 Cs 4.14
K3 0.8014 0.3014 0.5000  2 Cs 4.14
K4 0.3014 0.1986 0.5000  2 Cs 4.14
Bi1 0.0000 0.0000 0.0000  4 Cs 3.76
Bi2 0.5000 0.5000 0.0000  4 Cs 3.76


A geometry-optimized SrTl2ZnS structure, computed with PBE.

## Properties
calculated volume: 166.58 Å³ per cell
ΔE_f (raw): -0.089 eV per atom
symmetry: P4/mmm (123)

abc: 6.0015 4.6249 6.0015
angles: 90.00 90.00 90.00
Closest atoms and distances in Å follow each position.
Fractional coordinates of all 5 atoms:
S1 0.0000 0.0000 0.0000  2 Zn 2.31
Sr1 0.5000 0.5000 0.5000  8 Tl 3.79
Tl1 0.0000 0.0000 0.5000  2 S 3.00
Tl2 0.5000 0.0000 0.0000  2 S 3.00
Zn1 0.0000 0.5000 0.0000  2 S 2.31


A geometry-optimized Os2CN structure, computed with PBE.

## Properties
calculated volume: 97.31 Å³ per cell
ΔE_f (raw): 0.688 eV per atom
energy above the lowest structure with this stoichiometry: 0 meV per atom
symmetry: I-42d (122)

abc: 4.7367 4.7367 5.4800
angles: 64.39 64.39 90.00
Closest atoms and distances in Å follow each position.
Fractional coordinates of all 8 atoms:
C1 0.5000 0.5000 0.0000  4 Os 2.00
C2 0.2500 0.7500 0.5000  4 Os 2.00
Os1 0.6269 0.1250 0.2500  2 N 1.99, 2 C 2.00
Os2 0.1231 0.6250 0.2500  2 N 1.99, 2 C 2.00
Os3 0.3750 0.3731 0.7500  2 N 1.99, 2 C 2.00
Os4 0.8750 0.8769 0.7500  2 N 1.99, 2 C 2.00
N1 0.0000 0.0000 0.0000  4 Os 1.99
N2 0.7500 0.2500 0.5000  4 Os 1.99


A geometry-optimized NaSr4Ni structure, computed with PBE.

## Properties
energy of formation: 64 meV/atom
calculated volume: 527.58 Å³ per cell
symmetry: P2_1/c (14)

abc: 7.6915 8.3198 8.3880
angles: 100.61 90.00 90.00
Closest atoms and distances in Å follow each position.
Fractional coordinates of all 12 atoms:
Na1 0.0000 0.0000 0.0000  4 Sr 3.42-3.54
Na2 0.5000 0.0000 0.5000  4 Sr 3.42-3.54
Sr1 0.6281 0.1814 0.8975  1 Ni 2.81
Sr2 0.1281 0.8186 0.6025  1 Ni 2.81
Sr3 0.3253 0.3922 0.2917  2 Ni 3.07-3.09
Sr4 0.8253 0.6078 0.2083  2 Ni 3.07-3.09
Sr5 0.3719 0.8186 0.1025  1 Ni 2.81
Sr6 0.8719 0.1814 0.3975  1 Ni 2.81
Sr7 0.6747 0.6078 0.7083  2 Ni 3.07-3.09
Sr8 0.1747 0.3922 0.7917  2 Ni 3.07-3.09
Ni1 0.0000 0.5000 0.5000  6 Sr 2.81-3.09
Ni2 0.5000 0.5000 0.0000  6 Sr 2.81-3.09


A geometry-optimized GdHoAl6 structure, computed with PBE.

## Properties
energy of formation: -423 meV/atom
calculated volume: 310.88 Å³ per cell
energy above the lowest structure with this stoichiometry: 8 meV per atom
symmetry: P6_3/mmc (194)

abc: 6.1220 6.1220 9.5780
angles: 90.00 90.00 120.00
Closest atoms and distances in Å follow each position.
Fractional coordinates of all 16 atoms:
Gd1 0.3333 0.6667 0.7500  12 Al 2.98-3.07
Gd2 0.6667 0.3333 0.2500  12 Al 2.98-3.07
Ho1 0.0000 0.0000 0.0000  12 Al 3.06-3.08
Ho2 0.0000 0.0000 0.5000  12 Al 3.06-3.08
Al1 0.8177 0.6353 0.7500  6 Al 2.77-2.93, 2 Gd 3.07, 2 Ho 3.08
Al2 0.3647 0.1823 0.7500  6 Al 2.77-2.93, 2 Gd 3.07, 2 Ho 3.08
Al3 0.8177 0.1823 0.7500  6 Al 2.77-2.93, 2 Gd 3.07, 2 Ho 3.08
Al4 0.1823 0.3647 0.2500  6 Al 2.77-2.93, 2 Gd 3.07, 2 Ho 3.08
Al5 0.6353 0.8177 0.2500  6 Al 2.77-2.93, 2 Gd 3.07, 2 Ho 3.08
Al6 0.1823 0.8177 0.2500  6 Al 2.77-2.93, 2 Gd 3.07, 2 Ho 3.08
Al7 0.5000 0.5000 0.0000  8 Al 2.93-3.06, 2 Gd 2.98, 2 Ho 3.06
Al8 0.5000 0.0000 0.0000  8 Al 2.93-3.06, 2 Gd 2.98, 2 Ho 3.06
Al9 0.0000 0.5000 0.0000  8 Al 2.93-3.06, 2 Gd 2.98, 2 Ho 3.06
Al10 0.5000 0.5000 0.5000  8 Al 2.93-3.06, 2 Gd 2.98, 2 Ho 3.06
Al11 0.5000 0.0000 0.5000  8 Al 2.93-3.06, 2 Gd 2.98, 2 Ho 3.06
Al12 0.0000 0.5000 0.5000  8 Al 2.93-3.06, 2 Gd 2.98, 2 Ho 3.06


A geometry-optimized NaLa2CdTc structure, computed with PBE.

## Properties
energy of formation: 35 meV/atom
calculated volume: 161.10 Å³ per cell
symmetry: P4/mmm (123)

abc: 5.3705 5.3705 5.5854
angles: 90.00 90.00 90.00
Closest atoms and distances in Å follow each position.
Fractional coordinates of all 5 atoms:
Na1 0.5000 0.5000 0.5000  4 Cd 3.80, 8 La 3.87
Cd1 0.0000 0.0000 0.5000  2 Tc 2.79
Tc1 0.0000 0.0000 0.0000  4 La 2.69, 2 Cd 2.79
La1 0.0000 0.5000 0.0000  2 Tc 2.69
La2 0.5000 0.0000 0.0000  2 Tc 2.69


A geometry-optimized Y4Cu3Au structure, computed with PBE.

## Properties
energy of formation: -406 meV/atom
calculated volume: 180.41 Å³ per cell
symmetry: Pmm2 (25)

abc: 3.8112 4.5403 10.4261
angles: 90.00 90.00 90.00
Closest atoms and distances in Å follow each position.
Fractional coordinates of all 8 atoms:
Y1 0.5000 0.5000 0.3663  6 Cu 2.87-3.04, 1 Au 3.01
Y2 0.0000 0.5000 0.8546  5 Cu 2.95-3.04, 2 Au 3.01
Y3 0.0000 0.0000 0.1419  3 Cu 3.00, 4 Au 3.04
Y4 0.5000 0.0000 0.6381  7 Cu 2.89-3.04
Cu1 0.0000 0.5000 0.5716  2 Cu 2.71, 3 Y 2.87-2.95
Cu2 0.0000 0.0000 0.4295  2 Cu 2.71, 3 Y 2.89-3.00
Cu3 0.5000 0.0000 0.9203  2 Au 2.80, 7 Y 2.94-3.04
Au1 0.5000 0.5000 0.0775  2 Cu 2.80, 7 Y 3.01-3.04


A geometry-optimized U3P6Rh20 structure, computed with PBE.

## Properties
energy of formation: -642 meV/atom
calculated volume: 432.12 Å³ per cell
symmetry: Fm-3m (225)

abc: 8.4861 8.4861 8.4861
angles: 60.00 60.00 60.00
Closest atoms and distances in Å follow each position.
Fractional coordinates of all 29 atoms:
U1 0.7500 0.7500 0.7500  4 Rh 2.70
U2 0.2500 0.2500 0.2500  4 Rh 2.70
U3 0.0000 0.0000 0.0000  12 Rh 2.89
P1 0.2714 0.7286 0.7286  8 Rh 2.38-2.42
P2 0.7286 0.2714 0.2714  8 Rh 2.38-2.42
P3 0.2714 0.2714 0.7286  8 Rh 2.38-2.42
P4 0.7286 0.2714 0.7286  8 Rh 2.38-2.42
P5 0.2714 0.7286 0.2714  8 Rh 2.38-2.42
P6 0.7286 0.7286 0.2714  8 Rh 2.38-2.42
Rh1 0.3798 0.3798 0.8606  3 P 2.42, 1 U 2.70
Rh2 0.1394 0.6202 0.6202  3 P 2.42, 1 U 2.70
Rh3 0.6599 0.0000 0.0000  2 P 2.38
Rh4 0.6599 0.3401 0.0000  2 P 2.38
Rh5 0.0000 0.0000 0.6599  2 P 2.38
Rh6 0.3798 0.8606 0.3798  3 P 2.42, 1 U 2.70
Rh7 0.0000 0.3401 0.6599  2 P 2.38
Rh8 0.6599 0.0000 0.3401  2 P 2.38
Rh9 0.0000 0.6599 0.0000  2 P 2.38
Rh10 0.0000 0.0000 0.3401  2 P 2.38
Rh11 0.3401 0.0000 0.6599  2 P 2.38
Rh12 0.0000 0.3401 0.0000  2 P 2.38
Rh13 0.3401 0.6599 0.0000  2 P 2.38
Rh14 0.3401 0.0000 0.0000  2 P 2.38
Rh15 0.3798 0.3798 0.3798  3 P 2.42, 1 U 2.70
Rh16 0.6202 0.6202 0.1394  3 P 2.42, 1 U 2.70
Rh17 0.6202 0.6202 0.6202  3 P 2.42, 1 U 2.70
Rh18 0.6202 0.1394 0.6202  3 P 2.42, 1 U 2.70
Rh19 0.8606 0.3798 0.3798  3 P 2.42, 1 U 2.70
Rh20 0.0000 0.6599 0.3401  2 P 2.38


A geometry-optimized SrCrTe3 structure, computed with PBE.

## Properties
calculated volume: 152.63 Å³ per cell
ΔE_f (raw): -0.480 eV per atom
energy above the lowest structure with this stoichiometry: 235 meV per atom
symmetry: Pm-3m (221)

abc: 5.3442 5.3442 5.3442
angles: 90.00 90.00 90.00
Closest atoms and distances in Å follow each position.
Fractional coordinates of all 5 atoms:
Sr1 0.5000 0.5000 0.5000  12 Te 3.78
Te1 0.0000 0.5000 0.0000  2 Cr 2.67
Te2 0.0000 0.0000 0.5000  2 Cr 2.67
Te3 0.5000 0.0000 0.0000  2 Cr 2.67
Cr1 0.0000 0.0000 0.0000  6 Te 2.67


A geometry-optimized KTlB2Br structure, computed with PBE.

## Properties
calculated volume: 285.64 Å³ per cell
ΔE_f (raw): 1.974 eV per atom
symmetry: P4/mmm (123)

abc: 5.2128 10.5120 5.2128
angles: 90.00 90.00 90.00
Closest atoms and distances in Å follow each position.
Fractional coordinates of all 5 atoms:
Tl1 0.0000 0.5000 0.0000  4 Br 3.69
B1 0.0000 0.0000 0.5000  2 K 2.61
B2 0.5000 0.0000 0.0000  2 K 2.61
K1 0.0000 0.0000 0.0000  4 B 2.61
Br1 0.5000 0.5000 0.5000  4 Tl 3.69


A geometry-optimized PaReO5 structure, computed with PBE.

## Properties
calculated volume: 197.43 Å³ per cell
ΔE_f (raw): -2.487 eV per atom
symmetry: C2/c (15)

abc: 5.4968 5.4968 7.5565
angles: 70.02 70.02 72.74
Closest atoms and distances in Å follow each position.
Fractional coordinates of all 14 atoms:
Pa1 0.5405 0.4595 0.2500  4 O 2.05-2.26
Pa2 0.4595 0.5405 0.7500  4 O 2.05-2.26
Re1 0.0000 0.0000 0.0000  6 O 1.92-1.97
Re2 0.0000 0.0000 0.5000  6 O 1.92-1.97
O1 0.7779 0.7330 0.1241  1 Re 1.97, 1 Pa 2.05
O2 0.2898 0.6898 0.4703  1 Re 1.97
O3 0.7330 0.7779 0.6241  1 Re 1.97, 1 Pa 2.05
O4 0.9459 0.0541 0.2500  2 Re 1.92
O5 0.3102 0.7102 0.0297  1 Re 1.97
O6 0.6898 0.2898 0.9703  1 Re 1.97
O7 0.0541 0.9459 0.7500  2 Re 1.92
O8 0.2670 0.2221 0.3759  1 Re 1.97, 1 Pa 2.05
O9 0.7102 0.3102 0.5297  1 Re 1.97
O10 0.2221 0.2670 0.8759  1 Re 1.97, 1 Pa 2.05


A geometry-optimized Fe2AgRu structure, computed with PBE.

## Properties
energy of formation: 775 meV/atom
calculated volume: 52.75 Å³ per cell
energy above the lowest structure with this stoichiometry: 474 meV per atom
symmetry: Fm-3m (225)

abc: 4.2097 4.2097 4.2097
angles: 60.00 60.00 60.00
Closest atoms and distances in Å follow each position.
Fractional coordinates of all 4 atoms:
Ru1 0.0000 0.0000 0.0000  8 Fe 2.58
Fe1 0.2500 0.2500 0.2500  4 Ru 2.58, 4 Ag 2.58
Fe2 0.7500 0.7500 0.7500  4 Ag 2.58, 4 Ru 2.58
Ag1 0.5000 0.5000 0.5000  8 Fe 2.58


A geometry-optimized Cs2P2Se5 structure, computed with PBE.

## Properties
calculated volume: 311.45 Å³ per cell
ΔE_f (raw): -0.467 eV per atom
symmetry: C2/m (12)

abc: 5.2144 7.2995 9.1094
angles: 104.84 90.00 110.93
Closest atoms and distances in Å follow each position.
Fractional coordinates of all 9 atoms:
Cs1 0.4090 0.8180 0.6706  9 Se 3.64-3.96
Cs2 0.5910 0.1820 0.3294  9 Se 3.64-3.96
P1 0.1548 0.3097 0.9069  2 Se 2.20-2.31
P2 0.8452 0.6903 0.0931  2 Se 2.20-2.31
Se1 0.3287 0.6575 0.0206  1 P 2.31
Se2 0.6713 0.3425 0.9794  1 P 2.31
Se3 0.1159 0.2319 0.6561  1 P 2.20
Se4 0.8841 0.7681 0.3439  1 P 2.20
Se5 0.0000 0.0000 0.0000  2 P 2.48


A geometry-optimized CsAlCdF2 structure, computed with PBE.

## Properties
calculated volume: 173.09 Å³ per cell
ΔE_f (raw): -0.658 eV per atom
symmetry: P4/mmm (123)

abc: 5.2612 6.2532 5.2612
angles: 90.00 90.00 90.00
Closest atoms and distances in Å follow each position.
Fractional coordinates of all 5 atoms:
Cs1 0.0000 0.0000 0.0000  4 F 2.63
F1 0.0000 0.0000 0.5000  2 Cs 2.63
F2 0.5000 0.0000 0.0000  2 Cs 2.63
Al1 0.0000 0.5000 0.0000  2 Cs 3.13
Cd1 0.5000 0.5000 0.5000  4 Al 3.72, 8 F 4.09


A geometry-optimized KCeF2 structure, computed with PBE.

## Properties
calculated volume: 72.64 Å³ per cell
ΔE_f (raw): -2.403 eV per atom
symmetry: R-3m (166)

abc: 3.4362 3.4362 7.3760
angles: 76.53 76.53 60.00
Closest atoms and distances in Å follow each position.
Fractional coordinates of all 4 atoms:
K1 0.5000 0.5000 0.5000  6 F 2.60
Ce1 0.0000 0.0000 0.0000  6 F 2.73
F1 0.7544 0.7544 0.7369  3 K 2.60, 3 Ce 2.73
F2 0.2456 0.2456 0.2631  3 K 2.60, 3 Ce 2.73


A geometry-optimized KReSi2 structure, computed with PBE.

## Properties
calculated volume: 72.10 Å³ per cell
ΔE_f (raw): 0.703 eV per atom
energy above the lowest structure with this stoichiometry: 627 meV per atom
symmetry: Cmm2 (35)

abc: 2.8466 2.8466 9.4299
angles: 90.00 90.00 109.34
Closest atoms and distances in Å follow each position.
Fractional coordinates of all 4 atoms:
K1 0.0000 0.0000 0.4996  4 K 2.85
Re1 0.5000 0.5000 0.8060  2 Si 2.44
Si1 0.0000 0.0000 0.9974  2 Re 2.44, 2 Si 2.50
Si2 0.5000 0.5000 0.1970  2 Si 2.50


A geometry-optimized Ho2TmPu structure, computed with PBE.

## Properties
energy of formation: 95 meV/atom
calculated volume: 119.29 Å³ per cell
energy above the lowest structure with this stoichiometry: 8 meV per atom
symmetry: P4/mmm (123)

abc: 3.4635 3.4635 9.9439
angles: 90.00 90.00 90.00
Closest atoms and distances in Å follow each position.
Fractional coordinates of all 4 atoms:
Tm1 0.5000 0.5000 0.0000  4 Tm 3.46, 8 Ho 3.51
Ho1 0.0000 0.0000 0.7469  4 Ho 3.46, 4 Pu 3.47, 4 Tm 3.51
Ho2 0.0000 0.0000 0.2531  4 Ho 3.46, 4 Pu 3.47, 4 Tm 3.51
Pu1 0.5000 0.5000 0.5000  4 Pu 3.46, 8 Ho 3.47


A geometry-optimized Ce3CdH structure, computed with PBE.

## Properties
calculated volume: 116.49 Å³ per cell
energy above the lowest structure with this stoichiometry: 31 meV per atom
symmetry: Pm-3m (221)

abc: 4.8839 4.8839 4.8839
angles: 90.00 90.00 90.00
Closest atoms and distances in Å follow each position.
Fractional coordinates of all 5 atoms:
H1 0.0000 0.0000 0.0000  6 Ce 2.44
Ce1 0.0000 0.5000 0.0000  2 H 2.44
Ce2 0.0000 0.0000 0.5000  2 H 2.44
Ce3 0.5000 0.0000 0.0000  2 H 2.44
Cd1 0.5000 0.5000 0.5000  12 Ce 3.45


A geometry-optimized CeSiGe2Ir2 structure, computed with PBE.

## Properties
calculated volume: 115.95 Å³ per cell
ΔE_f (raw): -0.244 eV per atom
symmetry: P4/mmm (123)

abc: 4.5801 4.5801 5.5275
angles: 90.00 90.00 90.00
Closest atoms and distances in Å follow each position.
Fractional coordinates of all 6 atoms:
Ce1 0.0000 0.0000 0.5000  2 Si 2.76
Si1 0.0000 0.0000 0.0000  4 Ir 2.29
Ge1 0.5000 0.5000 0.7356  1 Ge 2.60, 4 Ir 2.72
Ge2 0.5000 0.5000 0.2644  1 Ge 2.60, 4 Ir 2.72
Ir1 0.5000 0.0000 0.0000  2 Si 2.29
Ir2 0.0000 0.5000 0.0000  2 Si 2.29